First-principles (PBE) data for a relaxed structure of Pr3Ni7Rh2, as listed in Alexandria.

Results
SG: R-3m, No. 166
Density of states at the Fermi level: 1.2338 states/eV per atom
Magnetic moment: 1.6 Bohr magnetons per cell
Formation energy from the elements: -0.30 eV/atom
Raw total energy: -6.0950 eV/atom

Unit cell a=8.9728 b=8.9728 c=8.9728 alpha=33.19 beta=33.19 gamma=33.19
Sites, in units of the cell vectors:
Pr 0.0000 0.0000 0.0000
Pr 0.1388 0.1388 0.1388
Pr 0.8612 0.8612 0.8612
Ni 0.0858 0.5823 0.5823
Ni 0.4177 0.4177 0.9142
Ni 0.4177 0.9142 0.4177
Ni 0.5000 0.5000 0.5000
Ni 0.5823 0.0857 0.5823
Ni 0.5823 0.5823 0.0858
Ni 0.9142 0.4177 0.4177
Rh 0.3313 0.3313 0.3313
Rh 0.6687 0.6687 0.6687